Computed, not measured: a geometry-optimized CaHoMo2O8 structure at the PBE with a Hubbard U level of DFT.

Output
The magnetic moment comes out at 2.00 μB per cell. For the total DFT energy (no corrections), the calculation gives -177.65 eV/cell. As for the crystal system: tetragonal. As for the density: 5.6 Mg/m³.

Cell: 5.2432 5.2432 11.3882 Å, 90.00 90.00 90.00°
Space group I-4 (No. 82)
Symmetry-distinct sites (fractional):
Ca 0.0000 0.0000 0.0000 (multiplicity 2)
Ho 0.0000 0.5000 0.2500 (multiplicity 2)
Mo 0.0000 0.0000 0.5000 (multiplicity 2)
Mo 0.0000 0.5000 0.7500 (multiplicity 2)
O 0.1589 0.2438 0.4143 (multiplicity 8)
O 0.1758 0.7591 0.8310 (multiplicity 8)